Here is a geometry-optimized Ba2PmBr8 structure from Alexandria via LeMat-Bulk. Energies are from GGA-PBE.

POSCAR file:
```
Ba2PmBr8
1.0
11.955 -2.532 0.000
11.955 2.532 0.000
-1.765 0.000 6.386
Ba Pm Br
2 1 8
Direct
0.176 0.176 0.177
0.824 0.824 0.823
0.500 0.500 0.500
0.002 0.002 0.254
0.231 0.231 0.734
0.387 0.387 0.624
0.390 0.390 0.135
0.610 0.610 0.865
0.613 0.613 0.376
0.769 0.769 0.266
0.998 0.998 0.746
```

Values from the calculation:
- ΔE_f (raw) (meV/atom) = -1774
- total DFT energy (no corrections) (eV per formula unit) = -41.5
- DOS(E_F) (states/eV/cell) = 3.9
- crystal system = monoclinic